1.
A geometry-optimized MnHSe2N structure. Source: the Alexandria database, functional PBE.

a = 4.856 Å, b = 4.856 Å, c = 3.423 Å
α = 90.00°, β = 90.00°, γ = 90.00°
Element x y z (fractional)
1 Mn 0.000 0.000 0.000
2 H 0.500 0.500 0.500
3 Se 0.000 0.500 0.000
4 Se 0.500 0.000 0.000
5 N 0.000 0.000 0.500

***

2.
A geometry-optimized MnHSe2N structure. Source: the Alexandria database, functional PBE.

a = 4.950 Å, b = 4.950 Å, c = 2.690 Å
α = 90.00°, β = 90.00°, γ = 90.00°
Element x y z (fractional)
1 Mn 0.000 0.000 0.000
2 H 0.500 0.500 0.500
3 Se 0.000 0.500 0.500
4 Se 0.500 0.000 0.500
5 N 0.500 0.500 0.000

***

1 is preferred energetically. Next in line: 0.156 eV/atom higher.

***

1.
A geometry-optimized Na3MnH structure. Source: the Alexandria database, functional PBE.

a = 4.828 Å, b = 4.828 Å, c = 4.828 Å
α = 90.00°, β = 90.00°, γ = 90.00°
Element x y z (fractional)
1 Na 0.000 0.000 0.500
2 Na 0.000 0.500 0.000
3 Na 0.500 0.000 0.000
4 Mn 0.500 0.500 0.500
5 H 0.000 0.000 0.000

***

2.
A geometry-optimized Na3MnH structure. Source: the Alexandria database, functional PBE.

a = 5.886 Å, b = 5.886 Å, c = 5.886 Å
α = 90.00°, β = 90.00°, γ = 90.00°
Element x y z (fractional)
1 Na 0.000 0.000 0.500
2 Na 0.000 0.500 0.000
3 Na 0.500 0.000 0.000
4 Mn 0.000 0.000 0.000
5 H 0.500 0.500 0.500

***

1 is preferred energetically. Next in line: 0.599 eV/atom higher.

***

1.
A geometry-optimized NaMnH2 structure. Source: the Alexandria database, functional PBE.

a = 3.999 Å, b = 3.999 Å, c = 3.999 Å
α = 60.00°, β = 60.00°, γ = 60.00°
Element x y z (fractional)
1 Na 0.000 0.000 0.000
2 Mn 0.500 0.500 0.500
3 H 0.250 0.250 0.250
4 H 0.750 0.750 0.750

***

2.
A geometry-optimized NaMnH2 structure. Source: the Alexandria database, functional PBE.

a = 5.281 Å, b = 5.281 Å, c = 5.281 Å
α = 123.14°, β = 123.14°, γ = 84.64°
Element x y z (fractional)
1 Na 0.000 0.000 0.000
2 Na 0.750 0.250 0.500
3 Mn 0.250 0.750 0.500
4 Mn 0.500 0.500 0.000
5 H 0.227 0.625 0.102
6 H 0.375 0.477 0.602
7 H 0.523 0.125 0.898
8 H 0.875 0.773 0.398

***

2 is preferred energetically. Next in line: 0.517 eV/atom higher.

***

1.
A geometry-optimized Na2MnH structure. Source: the Alexandria database, functional PBE.

a = 5.058 Å, b = 5.058 Å, c = 5.058 Å
α = 60.00°, β = 60.00°, γ = 60.00°
Element x y z (fractional)
1 Na 0.250 0.250 0.250
2 Na 0.750 0.750 0.750
3 Mn 0.000 0.000 0.000
4 H 0.500 0.500 0.500

***

2.
A geometry-optimized Na2MnH structure. Source: the Alexandria database, functional PBE.

a = 7.260 Å, b = 7.260 Å, c = 7.260 Å
α = 93.34°, β = 93.34°, γ = 152.07°
Element x y z (fractional)
1 Na 0.375 0.026 0.151
2 Na 0.776 0.625 0.651
3 Na 0.875 0.224 0.849
4 Na 0.974 0.125 0.349
5 Mn 0.250 0.750 0.500
6 Mn 0.500 0.500 0.000
7 H 0.000 0.000 0.000
8 H 0.750 0.250 0.500

***

2 is preferred energetically. Next in line: 0.434 eV/atom higher.

***

1.
A geometry-optimized MnNbH2 structure. Source: the Alexandria database, functional PBE.

a = 5.818 Å, b = 5.491 Å, c = 4.329 Å
α = 90.00°, β = 90.00°, γ = 90.00°
Element x y z (fractional)
1 Mn 0.038 0.193 0.000
2 Mn 0.462 0.693 0.500
3 Mn 0.538 0.307 0.000
4 Mn 0.962 0.807 0.500
5 Nb 0.161 0.631 0.985
6 Nb 0.339 0.131 0.485
7 Nb 0.661 0.869 0.985
8 Nb 0.839 0.369 0.485
9 H 0.019 0.093 0.633
10 H 0.167 0.578 0.489
11 H 0.333 0.078 0.989
12 H 0.481 0.593 0.133
13 H 0.519 0.407 0.633
14 H 0.667 0.922 0.489
15 H 0.833 0.422 0.989
16 H 0.981 0.907 0.133

***

2.
A geometry-optimized MnNbH2 structure. Source: the Alexandria database, functional PBE.

a = 5.197 Å, b = 5.197 Å, c = 5.197 Å
α = 134.03°, β = 134.03°, γ = 67.04°
Element x y z (fractional)
1 Mn 0.000 0.000 0.000
2 Mn 0.750 0.250 0.500
3 Nb 0.250 0.750 0.500
4 Nb 0.500 0.500 0.000
5 H 0.070 0.625 0.945
6 H 0.375 0.320 0.445
7 H 0.680 0.125 0.055
8 H 0.875 0.930 0.555

***

1 is preferred energetically. Next in line: 0.061 eV/atom higher.

***

1.
A geometry-optimized MnNbH2 structure. Source: the Alexandria database, functional PBE.

a = 3.656 Å, b = 3.656 Å, c = 3.656 Å
α = 60.00°, β = 60.00°, γ = 60.00°
Element x y z (fractional)
1 Mn 0.000 0.000 0.000
2 Nb 0.500 0.500 0.500
3 H 0.250 0.250 0.250
4 H 0.750 0.750 0.750

***

2.
A geometry-optimized MnNbH2 structure. Source: the Alexandria database, functional PBE.

a = 5.377 Å, b = 5.377 Å, c = 5.377 Å
α = 30.92°, β = 30.92°, γ = 30.92°
Element x y z (fractional)
1 Mn 0.000 0.000 0.000
2 Nb 0.173 0.173 0.173
3 H 0.409 0.409 0.409
4 H 0.598 0.598 0.598

***

3.
A geometry-optimized MnNbH2 structure. Source: the Alexandria database, functional PBE.

a = 5.339 Å, b = 5.339 Å, c = 5.339 Å
α = 33.40°, β = 33.40°, γ = 33.40°
Element x y z (fractional)
1 Mn 0.000 0.000 0.000
2 Nb 0.500 0.500 0.500
3 H 0.117 0.117 0.117
4 H 0.883 0.883 0.883

***

3 is preferred energetically. Next in line: 0.078 eV/atom higher.

***

1.
A geometry-optimized MnNb2HRh structure. Source: the Alexandria database, functional PBE.

a = 4.144 Å, b = 4.144 Å, c = 3.758 Å
α = 90.00°, β = 90.00°, γ = 90.00°
Element x y z (fractional)
1 Mn 0.000 0.000 0.000
2 Nb 0.000 0.500 0.500
3 Nb 0.500 0.000 0.500
4 H 0.000 0.000 0.500
5 Rh 0.500 0.500 0.000

***

2.
A geometry-optimized MnNb2HRh structure. Source: the Alexandria database, functional PBE.

a = 4.066 Å, b = 4.066 Å, c = 3.992 Å
α = 90.00°, β = 90.00°, γ = 90.00°
Element x y z (fractional)
1 Mn 0.000 0.000 0.000
2 Nb 0.000 0.500 0.500
3 Nb 0.500 0.000 0.500
4 H 0.500 0.500 0.500
5 Rh 0.500 0.500 0.000

***

1 is preferred energetically. Next in line: 0.049 eV/atom higher.

***

1.
A geometry-optimized MnNbHRh2 structure. Source: the Alexandria database, functional PBE.

a = 3.937 Å, b = 3.937 Å, c = 3.901 Å
α = 90.00°, β = 90.00°, γ = 90.00°
Element x y z (fractional)
1 Mn 0.000 0.000 0.000
2 Nb 0.500 0.500 0.000
3 H 0.000 0.000 0.500
4 Rh 0.000 0.500 0.500
5 Rh 0.500 0.000 0.500

***

2.
A geometry-optimized MnNbHRh2 structure. Source: the Alexandria database, functional PBE.

a = 4.717 Å, b = 4.717 Å, c = 4.905 Å
α = 90.00°, β = 90.00°, γ = 90.00°
Element x y z (fractional)
1 Mn 0.000 0.000 0.000
2 Nb 0.000 0.000 0.500
3 H 0.500 0.500 0.000
4 Rh 0.000 0.500 0.500
5 Rh 0.500 0.000 0.500

***

1 is preferred energetically. Next in line: 1.945 eV/atom higher.

***

1.
A geometry-optimized MnNb2HRu structure. Source: the Alexandria database, functional PBE.

a = 4.233 Å, b = 4.233 Å, c = 3.659 Å
α = 90.00°, β = 90.00°, γ = 90.00°
Element x y z (fractional)
1 Mn 0.000 0.000 0.000
2 Nb 0.000 0.500 0.500
3 Nb 0.500 0.000 0.500
4 H 0.500 0.500 0.500
5 Ru 0.500 0.500 0.000

***

2.
A geometry-optimized MnNb2HRu structure. Source: the Alexandria database, functional PBE.

a = 4.305 Å, b = 4.305 Å, c = 3.430 Å
α = 90.00°, β = 90.00°, γ = 90.00°
Element x y z (fractional)
1 Mn 0.000 0.000 0.000
2 Nb 0.000 0.500 0.500
3 Nb 0.500 0.000 0.500
4 H 0.000 0.000 0.500
5 Ru 0.500 0.500 0.000

***

2 is preferred energetically. Next in line: 0.070 eV/atom higher.

***

1.
A geometry-optimized Mn2NbTcH structure. Source: the Alexandria database, functional PBE.

a = 4.598 Å, b = 4.598 Å, c = 3.278 Å
α = 90.00°, β = 90.00°, γ = 90.00°
Element x y z (fractional)
1 Mn 0.000 0.500 0.000
2 Mn 0.500 0.000 0.000
3 Nb 0.000 0.000 0.500
4 Tc 0.500 0.500 0.000
5 H 0.500 0.500 0.500

***

2.
A geometry-optimized Mn2NbTcH structure. Source: the Alexandria database, functional PBE.

a = 3.815 Å, b = 3.815 Å, c = 3.891 Å
α = 90.00°, β = 90.00°, γ = 90.00°
Element x y z (fractional)
1 Mn 0.000 0.500 0.000
2 Mn 0.500 0.000 0.000
3 Nb 0.000 0.000 0.500
4 Tc 0.500 0.500 0.500
5 H 0.500 0.500 0.000

***

2 is preferred energetically. Next in line: 0.689 eV/atom higher.

***

1.
A geometry-optimized Mn2NbHW structure. Source: the Alexandria database, functional PBE.

a = 3.859 Å, b = 3.859 Å, c = 3.929 Å
α = 90.00°, β = 90.00°, γ = 90.00°
Element x y z (fractional)
1 Mn 0.000 0.500 0.000
2 Mn 0.500 0.000 0.000
3 Nb 0.000 0.000 0.500
4 H 0.000 0.000 0.000
5 W 0.500 0.500 0.500

***

2.
A geometry-optimized Mn2NbHW structure. Source: the Alexandria database, functional PBE.

a = 3.878 Å, b = 3.878 Å, c = 3.899 Å
α = 90.00°, β = 90.00°, γ = 90.00°
Element x y z (fractional)
1 Mn 0.000 0.500 0.000
2 Mn 0.500 0.000 0.000
3 Nb 0.000 0.000 0.500
4 H 0.500 0.500 0.000
5 W 0.500 0.500 0.500

***

1 is preferred energetically. Next in line: 0.017 eV/atom higher.

***

1.
A geometry-optimized MnNi2H structure. Source: the Alexandria database, functional PBE.

a = 2.419 Å, b = 2.419 Å, c = 6.008 Å
α = 90.00°, β = 90.00°, γ = 90.00°
Element x y z (fractional)
1 Mn 0.000 0.000 0.000
2 Ni 0.500 0.500 0.298
3 Ni 0.500 0.500 0.702
4 H 0.000 0.000 0.500

***

2.
A geometry-optimized MnNi2H structure. Source: the Alexandria database, functional PBE.

a = 4.698 Å, b = 4.698 Å, c = 4.698 Å
α = 105.12°, β = 105.12°, γ = 118.58°
Element x y z (fractional)
1 Mn 0.000 0.000 0.000
2 Mn 0.750 0.250 0.500
3 Ni 0.232 0.125 0.607
4 Ni 0.375 0.768 0.893
5 Ni 0.518 0.625 0.393
6 Ni 0.875 0.482 0.107
7 H 0.250 0.750 0.500
8 H 0.500 0.500 0.000

***

2 is preferred energetically. Next in line: 0.084 eV/atom higher.